No. 1
Cd6Pb3Au after structural relaxation, computed with PBE-GGA.

Results
N(E_F): 3.70 states/eV/f.u.
uncorrected energy: -1.984 eV per atom
DFT formation energy: 0.005 eV per atom
total moment: 0.00 Bohr magnetons per cell

The structure in CIF format:
```
data_Cd6Pb3Au
_chemical_formula_sum 'Cd12 Pb6 Au2'
_cell_length_a 9.559
_cell_length_b 4.591
_cell_length_c 12.470
_cell_angle_alpha 90.00
_cell_angle_beta 108.73
_cell_angle_gamma 90.00
_space_group_name_H-M_alt 'P 1 21/m 1'
_space_group_IT_number 11
loop_
_space_group_symop_operation_xyz
'x,y,z'
'-x,-y,-z'
'-x,y+1/2,-z'
'x,-y+1/2,z'
loop_
_atom_site_label
_atom_site_type_symbol
_atom_site_fract_x
_atom_site_fract_y
_atom_site_fract_z
_atom_site_occupancy
Cd1 Cd 0.041 0.250 0.206 1
Cd2 Cd 0.083 0.750 0.591 1
Cd3 Cd 0.094 0.250 0.977 1
Cd4 Cd 0.253 0.250 0.491 1
Cd5 Cd 0.417 0.750 0.420 1
Cd6 Cd 0.436 0.250 0.041 1
Pb1 Pb 0.238 0.250 0.780 1
Pb2 Pb 0.275 0.750 0.157 1
Pb3 Pb 0.442 0.750 0.697 1
Au1 Au 0.099 0.750 0.359 1
```

No. 2
Cd4PbAu after structural relaxation, computed with PBE-GGA.

Results
N(E_F): 1.99 states/eV/f.u.
uncorrected energy: -1.780 eV per atom
DFT formation energy: -0.006 eV per atom
total moment: 0.00 Bohr magnetons per cell

The structure in CIF format:
```
data_Cd4PbAu
_chemical_formula_sum 'Cd16 Pb4 Au4'
_cell_length_a 13.676
_cell_length_b 7.409
_cell_length_c 6.160
_cell_angle_alpha 90.00
_cell_angle_beta 111.79
_cell_angle_gamma 90.00
_space_group_name_H-M_alt 'C 1 2/m 1'
_space_group_IT_number 12
loop_
_space_group_symop_operation_xyz
'x,y,z'
'-x,-y,-z'
'-x,y,-z'
'x,-y,z'
'x+1/2,y+1/2,z'
'-x+1/2,-y+1/2,-z'
'-x+1/2,y+1/2,-z'
'x+1/2,-y+1/2,z'
loop_
_atom_site_label
_atom_site_type_symbol
_atom_site_fract_x
_atom_site_fract_y
_atom_site_fract_z
_atom_site_occupancy
Cd1 Cd 0.000 0.197 0.000 1
Cd2 Cd 0.117 0.200 0.549 1
Cd3 Cd 0.179 0.500 0.242 1
Pb1 Pb 0.223 0.000 0.152 1
Au1 Au 0.035 0.500 0.748 1
```